1.
The following is a PBE calculation of a geometry-optimized NaSmMgSe3 structure, from OQMD.

Output
The calculation puts the relative energy among the computed polymorphs at 2.57 kJ per mole of atoms. The calculated density is 4.38 g cm⁻³. The value obtained for the total magnetization is 0.0 μB per formula unit.

Cell: 11.4055 4.2138 13.7214 Å, 90.00 90.00 90.00°
Last column: nearest neighbours and their distance in Å.
Element x y z (fractional)
Na 0.2266 0.2500 0.0062  6 Se 3.18-3.33
Na 0.2734 0.7500 0.5062  6 Se 3.18-3.33
Na 0.7266 0.2500 0.4938  6 Se 3.18-3.33
Na 0.7734 0.7500 0.9938  6 Se 3.18-3.33
Sm 0.0099 0.7500 0.7434  6 Se 2.91-3.09
Sm 0.4901 0.2500 0.2434  6 Se 2.91-3.09
Sm 0.5099 0.7500 0.7566  6 Se 2.91-3.09
Sm 0.9901 0.2500 0.2566  6 Se 2.91-3.09
Mg 0.2397 0.7500 0.2241  4 Se 2.53-2.59
Mg 0.2603 0.2500 0.7241  4 Se 2.53-2.59
Mg 0.7397 0.7500 0.2759  4 Se 2.53-2.59
Mg 0.7603 0.2500 0.7759  4 Se 2.53-2.59
Se 0.0573 0.7500 0.1184  1 Mg 2.54
Se 0.0851 0.2500 0.6110  1 Mg 2.53
Se 0.2419 0.2500 0.3342  2 Mg 2.59
Se 0.2581 0.7500 0.8342  2 Mg 2.59
Se 0.4149 0.7500 0.1110  1 Mg 2.53
Se 0.4427 0.2500 0.6184  1 Mg 2.54
Se 0.5573 0.7500 0.3816  1 Mg 2.54
Se 0.5851 0.2500 0.8890  1 Mg 2.53
Se 0.7419 0.2500 0.1658  2 Mg 2.59
Se 0.7581 0.7500 0.6658  2 Mg 2.59
Se 0.9149 0.7500 0.3890  1 Mg 2.53
Se 0.9427 0.2500 0.8816  1 Mg 2.54



2.
The following is a PBE calculation of a geometry-optimized NaSmMgSe3 structure, from OQMD.

Output
The calculation puts the relative energy among the computed polymorphs at 2.61 kJ per mole of atoms. The calculated density is 4.37 g cm⁻³. The value obtained for the total magnetization is 0.0 μB per formula unit.

Cell: 7.1902 7.1902 11.4090 Å, 90.00 90.00 145.99°
Last column: nearest neighbours and their distance in Å.
Element x y z (fractional)
Na 0.2462 0.7538 0.7500  6 Se 3.15-3.31
Na 0.7538 0.2462 0.2500  6 Se 3.15-3.31
Sm 0.0000 0.0000 0.0000  6 Se 2.92-3.07
Sm 0.0000 0.0000 0.5000  6 Se 2.92-3.07
Mg 0.4721 0.5279 0.2500  4 Se 2.53-2.60
Mg 0.5279 0.4721 0.7500  4 Se 2.53-2.60
Se 0.0829 0.9171 0.2500  2 Mg 2.60
Se 0.3643 0.6357 0.0704  1 Mg 2.53
Se 0.3643 0.6357 0.4296  1 Mg 2.53
Se 0.6357 0.3643 0.5704  1 Mg 2.53
Se 0.6357 0.3643 0.9296  1 Mg 2.53
Se 0.9171 0.0829 0.7500  2 Mg 2.60



3.
The following is a PBE calculation of a geometry-optimized NaSmMgSe3 structure, from OQMD.

Output
The calculation puts the relative energy among the computed polymorphs at 0.00 kJ per mole of atoms. The calculated density is 3.94 g cm⁻³. The value obtained for the total magnetization is 0.0 μB per formula unit.

Cell: 8.3040 4.2611 10.7558 Å, 90.00 105.78 90.00°
Last column: nearest neighbours and their distance in Å.
Element x y z (fractional)
Na 0.1827 0.2500 0.1502  5 Se 3.00-3.10
Na 0.8173 0.7500 0.8498  5 Se 3.00-3.10
Sm 0.3271 0.7500 0.8563  6 Se 2.91-3.01
Sm 0.6729 0.2500 0.1437  6 Se 2.91-3.01
Mg 0.0667 0.2500 0.6097  4 Se 2.57-2.61
Mg 0.9333 0.7500 0.3903  4 Se 2.57-2.61
Se 0.0763 0.2500 0.8504  1 Mg 2.57
Se 0.2209 0.7500 0.5655  3 Mg 2.60-2.61
Se 0.4323 0.7500 0.1388  3 Sm 2.91-2.92, 2 Na 3.00
Se 0.5677 0.2500 0.8612  3 Sm 2.91-2.92, 2 Na 3.00
Se 0.7791 0.2500 0.4345  3 Mg 2.60-2.61
Se 0.9237 0.7500 0.1496  1 Mg 2.57



4.
The following is a PBE calculation of a geometry-optimized NaTmMgSe3 structure, from OQMD.

Output
The calculation puts the final energy at -52.98 eV per cell. The calculated density is 4.78 g cm⁻³. The value obtained for the total magnetization is 0.0 μB per formula unit.

Cell: 7.2234 7.2234 11.0553 Å, 90.00 90.00 146.93°
Last column: nearest neighbours and their distance in Å.
Element x y z (fractional)
Na 0.2502 0.7498 0.7500  6 Se 3.11-3.35
Na 0.7498 0.2502 0.2500  6 Se 3.11-3.35
Tm 0.0000 0.0000 0.0000  6 Se 2.84-2.98
Tm 0.0000 0.0000 0.5000  6 Se 2.84-2.98
Mg 0.4699 0.5301 0.2500  4 Se 2.51-2.57
Mg 0.5301 0.4699 0.7500  4 Se 2.51-2.57
Se 0.0809 0.9191 0.2500  2 Mg 2.57
Se 0.3676 0.6324 0.0623  1 Mg 2.51
Se 0.3676 0.6324 0.4377  1 Mg 2.51
Se 0.6324 0.3676 0.5623  1 Mg 2.51
Se 0.6324 0.3676 0.9377  1 Mg 2.51
Se 0.9191 0.0809 0.7500  2 Mg 2.57



5.
The following is a PBE calculation of a geometry-optimized NaMgZrSe3 structure, from OQMD.

Output
The calculation puts the final energy at -114.68 eV per cell. The calculated density is 4.29 g cm⁻³. The value obtained for the total magnetization is 1.0 μB per formula unit.

Cell: 10.6211 3.9609 13.8141 Å, 90.00 90.00 90.00°
Last column: nearest neighbours and their distance in Å.
Element x y z (fractional)
Na 0.2230 0.2500 0.0005  7 Se 3.08-3.30
Na 0.2770 0.7500 0.5005  7 Se 3.08-3.30
Na 0.7230 0.2500 0.4995  7 Se 3.08-3.30
Na 0.7770 0.7500 0.9995  7 Se 3.08-3.30
Mg 0.2320 0.7500 0.2180  4 Se 2.52-2.54
Mg 0.2680 0.2500 0.7180  4 Se 2.52-2.54
Mg 0.7320 0.7500 0.2820  4 Se 2.52-2.54
Mg 0.7680 0.2500 0.7820  4 Se 2.52-2.54
Zr 0.0201 0.7500 0.7444  6 Se 2.76-2.90
Zr 0.4799 0.2500 0.2444  6 Se 2.76-2.90
Zr 0.5201 0.7500 0.7556  6 Se 2.76-2.90
Zr 0.9799 0.2500 0.2556  6 Se 2.76-2.90
Se 0.0338 0.7500 0.1184  1 Mg 2.52, 2 Zr 2.80
Se 0.0745 0.2500 0.6114  1 Mg 2.53, 2 Zr 2.76
Se 0.2322 0.2500 0.3332  2 Mg 2.54
Se 0.2678 0.7500 0.8332  2 Mg 2.54
Se 0.4255 0.7500 0.1114  1 Mg 2.53, 2 Zr 2.76
Se 0.4662 0.2500 0.6184  1 Mg 2.52, 2 Zr 2.80
Se 0.5338 0.7500 0.3816  1 Mg 2.52, 2 Zr 2.80
Se 0.5745 0.2500 0.8886  1 Mg 2.53, 2 Zr 2.76
Se 0.7322 0.2500 0.1668  2 Mg 2.54
Se 0.7678 0.7500 0.6668  2 Mg 2.54
Se 0.9255 0.7500 0.3886  1 Mg 2.53, 2 Zr 2.76
Se 0.9662 0.2500 0.8816  1 Mg 2.52, 2 Zr 2.80



6.
The following is a PBE calculation of a geometry-optimized NaMgZrSe3 structure, from OQMD.

Output
The calculation puts the final energy at -57.33 eV per cell. The calculated density is 4.29 g cm⁻³. The value obtained for the total magnetization is 1.0 μB per formula unit.

Cell: 7.2003 7.2003 10.5918 Å, 90.00 90.00 148.09°
Last column: nearest neighbours and their distance in Å.
Element x y z (fractional)
Na 0.2490 0.7510 0.7500  6 Se 3.05-3.29
Na 0.7510 0.2490 0.2500  6 Se 3.05-3.29
Mg 0.0342 0.9658 0.2500  4 Se 2.51-2.55
Mg 0.9658 0.0342 0.7500  4 Se 2.51-2.55
Zr 0.5000 0.5000 0.0000  6 Se 2.79-2.88
Zr 0.5000 0.5000 0.5000  6 Se 2.79-2.88
Se 0.1356 0.8644 0.0532  1 Mg 2.51, 2 Zr 2.79
Se 0.1356 0.8644 0.4468  1 Mg 2.51, 2 Zr 2.79
Se 0.4184 0.5816 0.2500  2 Mg 2.55
Se 0.5816 0.4184 0.7500  2 Mg 2.55
Se 0.8644 0.1356 0.5532  1 Mg 2.51, 2 Zr 2.79
Se 0.8644 0.1356 0.9468  1 Mg 2.51, 2 Zr 2.79



7.
The following is a PBE calculation of a geometry-optimized NaMgTa structure, from OQMD.

Output
The calculation puts the relative energy among the computed polymorphs at 0.00 kJ per mole of atoms. The calculated density is 4.93 g cm⁻³. The value obtained for the total magnetization is 2.3 μB per formula unit.

Cell: 4.7718 4.7718 4.7718 Å, 60.00 60.00 60.00°
Last column: nearest neighbours and their distance in Å.
Element x y z (fractional)
Na 0.0000 0.0000 0.0000  4 Mg 2.92
Mg 0.2500 0.2500 0.2500  4 Ta 2.92, 4 Na 2.92
Ta 0.5000 0.5000 0.5000  4 Mg 2.92



8.
The following is a PBE calculation of a geometry-optimized NaMgTc structure, from OQMD.

Output
The calculation puts the final energy at -9.33 eV per cell. The calculated density is 3.30 g cm⁻³. The value obtained for the total magnetization is 2.6 μB per formula unit.

Cell: 4.6946 4.6946 4.6946 Å, 60.00 60.00 60.00°
Last column: nearest neighbours and their distance in Å.
Element x y z (fractional)
Na 0.0000 0.0000 0.0000  4 Tc 2.87
Mg 0.5000 0.5000 0.5000  4 Tc 2.87
Tc 0.7500 0.7500 0.7500  4 Na 2.87, 4 Mg 2.87



9.
The following is a PBE calculation of a geometry-optimized NaMgZrTe3 structure, from OQMD.

Output
The calculation puts the final energy at -51.19 eV per cell. The calculated density is 4.96 g cm⁻³. The value obtained for the total magnetization is 1.0 μB per formula unit.

Cell: 7.7244 7.7244 11.1796 Å, 90.00 90.00 148.44°
Last column: nearest neighbours and their distance in Å.
Element x y z (fractional)
Na 0.2352 0.7648 0.7500  6 Te 3.33-3.39, 2 Mg 3.72
Na 0.7648 0.2352 0.2500  6 Te 3.33-3.39, 2 Mg 3.72
Mg 0.4712 0.5288 0.2500  4 Te 2.76
Mg 0.5288 0.4712 0.7500  4 Te 2.76
Zr 0.0000 0.0000 0.0000  6 Te 2.99-3.11
Zr 0.0000 0.0000 0.5000  6 Te 2.99-3.11
Te 0.0913 0.9087 0.2500  2 Mg 2.76
Te 0.3621 0.6379 0.0506  1 Mg 2.76, 2 Zr 2.99
Te 0.3621 0.6379 0.4494  1 Mg 2.76, 2 Zr 2.99
Te 0.6379 0.3621 0.5506  1 Mg 2.76, 2 Zr 2.99
Te 0.6379 0.3621 0.9494  1 Mg 2.76, 2 Zr 2.99
Te 0.9087 0.0913 0.7500  2 Mg 2.76



10.
The following is a PBE calculation of a geometry-optimized NaMgZrTe3 structure, from OQMD.

Output
The calculation puts the final energy at -102.38 eV per cell. The calculated density is 4.94 g cm⁻³. The value obtained for the total magnetization is 1.0 μB per formula unit.

Cell: 11.1943 4.2061 14.8736 Å, 90.00 90.00 90.00°
Last column: nearest neighbours and their distance in Å.
Element x y z (fractional)
Na 0.2284 0.2500 0.0125  7 Te 3.33-3.50
Na 0.2716 0.7500 0.5125  7 Te 3.33-3.50
Na 0.7284 0.2500 0.4875  7 Te 3.33-3.50
Na 0.7716 0.7500 0.9875  7 Te 3.33-3.50
Mg 0.2352 0.7500 0.2207  4 Te 2.75-2.76
Mg 0.2648 0.2500 0.7207  4 Te 2.75-2.76
Mg 0.7352 0.7500 0.2793  4 Te 2.75-2.76
Mg 0.7648 0.2500 0.7793  4 Te 2.75-2.76
Zr 0.0188 0.7500 0.7454  6 Te 2.97-3.11
Zr 0.4812 0.2500 0.2454  6 Te 2.97-3.11
Zr 0.5188 0.7500 0.7546  6 Te 2.97-3.11
Zr 0.9812 0.2500 0.2546  6 Te 2.97-3.11
Te 0.0331 0.7500 0.1161  1 Mg 2.75, 2 Zr 3.00
Te 0.0677 0.2500 0.6092  1 Mg 2.76, 2 Zr 2.97
Te 0.2338 0.2500 0.3409  2 Mg 2.76
Te 0.2662 0.7500 0.8409  2 Mg 2.76
Te 0.4323 0.7500 0.1092  1 Mg 2.76, 2 Zr 2.97
Te 0.4669 0.2500 0.6161  1 Mg 2.75, 2 Zr 3.00
Te 0.5331 0.7500 0.3839  1 Mg 2.75, 2 Zr 3.00
Te 0.5677 0.2500 0.8908  1 Mg 2.76, 2 Zr 2.97
Te 0.7338 0.2500 0.1591  2 Mg 2.76
Te 0.7662 0.7500 0.6591  2 Mg 2.76
Te 0.9323 0.7500 0.3908  1 Mg 2.76, 2 Zr 2.97
Te 0.9669 0.2500 0.8839  1 Mg 2.75, 2 Zr 3.00



11.
The following is a PBE calculation of a geometry-optimized Na2Mg2Zn3 structure, from OQMD.

Output
The calculation puts the final energy at -8.90 eV per cell. The calculated density is 3.21 g cm⁻³.

Cell: 8.0932 8.0932 8.0932 Å, 34.35 34.35 34.35°
Last column: nearest neighbours and their distance in Å.
Element x y z (fractional)
Na 0.0000 0.0000 0.0000  7 Zn 2.82-3.02
Na 0.4843 0.4843 0.4843  5 Zn 2.88-3.03
Mg 0.2359 0.2359 0.2359  7 Zn 2.79-2.94
Mg 0.7424 0.7424 0.7424  5 Zn 2.95-2.99, 6 Na 3.25-3.26
Zn 0.3582 0.3582 0.3582  4 Mg 2.79-2.99, 4 Na 2.82-2.88
Zn 0.6131 0.6131 0.6131  4 Mg 2.94-2.95, 4 Na 2.94-3.02, 3 Zn 3.24
Zn 0.8722 0.8722 0.8722  4 Mg 2.84-2.96, 4 Na 2.92-3.03



12.
The following is a PBE calculation of a geometry-optimized NaMgZn structure, from OQMD.

Output
The calculation puts the relative energy among the computed polymorphs at 11.00 kJ per mole of atoms. The calculated density is 2.33 g cm⁻³.

Cell: 4.8457 4.8457 4.8457 Å, 60.00 60.00 60.00°
Last column: nearest neighbours and their distance in Å.
Element x y z (fractional)
Na 0.0000 0.0000 0.0000  4 Mg 2.97, 4 Zn 2.97
Mg 0.7500 0.7500 0.7500  4 Na 2.97
Zn 0.2500 0.2500 0.2500  4 Na 2.97



- The highest calculated density belongs to which entry?
  number 9



- Which of these has the highest calculated density?
  number 9



- Which of these has the lowest calculated density?
  NaMgZn